VASP calculation (GGA-PBEsol) on a relaxed GaPbBr2 crystal.

```
data_GaPbBr2
_chemical_formula_sum 'Ga4 Pb4 Br8'
_symmetry_space_group_name_H-M 'F m -3 m'
_symmetry_Int_Tables_number 225
_symmetry_space_group_name_Hall '-F 4 2 3'
_cell_length_a 7.442
_cell_length_b 7.442
_cell_length_c 7.442
_cell_angle_alpha 90.00
_cell_angle_beta 90.00
_cell_angle_gamma 90.00
loop_
_atom_site_label
_atom_site_type_symbol
_atom_site_fract_x
_atom_site_fract_y
_atom_site_fract_z
Ga1 Ga 0.000 0.000 0.000
Pb1 Pb 0.000 0.000 0.500
Br1 Br 0.250 0.250 0.250
```

Electronic total energy   -50.09 eV per cell
E_form (uncorrected)   -361 meV per atom



VASP calculation (GGA-PBEsol) on a relaxed Ga2PbSeBr crystal.

```
data_Ga2PbSeBr
_chemical_formula_sum 'Ga2 Pb1 Se1 Br1'
_symmetry_space_group_name_H-M 'P 4/m m m'
_symmetry_Int_Tables_number 123
_symmetry_space_group_name_Hall '-P 4 2'
_cell_length_a 5.252
_cell_length_b 5.252
_cell_length_c 5.766
_cell_angle_alpha 90.00
_cell_angle_beta 90.00
_cell_angle_gamma 90.00
loop_
_atom_site_label
_atom_site_type_symbol
_atom_site_fract_x
_atom_site_fract_y
_atom_site_fract_z
Ga1 Ga 0.000 0.500 0.000
Pb1 Pb 0.000 0.000 0.500
Se1 Se 0.000 0.000 0.000
Br1 Br 0.500 0.500 0.500
```

Electronic total energy   -15.43 eV per cell
E_form (uncorrected)   193 meV per atom



VASP calculation (GGA-PBEsol) on a relaxed GaPbSeBr2 crystal.

```
data_GaPbSeBr2
_chemical_formula_sum 'Ga1 Pb1 Se1 Br2'
_symmetry_space_group_name_H-M 'P 4/m m m'
_symmetry_Int_Tables_number 123
_symmetry_space_group_name_Hall '-P 4 2'
_cell_length_a 5.089
_cell_length_b 5.089
_cell_length_c 5.097
_cell_angle_alpha 90.00
_cell_angle_beta 90.00
_cell_angle_gamma 90.00
loop_
_atom_site_label
_atom_site_type_symbol
_atom_site_fract_x
_atom_site_fract_y
_atom_site_fract_z
Ga1 Ga 0.000 0.000 0.000
Pb1 Pb 0.500 0.500 0.500
Se1 Se 0.000 0.000 0.500
Br1 Br 0.000 0.500 0.000
```

Electronic total energy   -16.66 eV per cell
E_form (uncorrected)   -347 meV per atom



VASP calculation (GGA-PBEsol) on a relaxed GaPdBr3 crystal.

```
data_GaPdBr3
_chemical_formula_sum 'Ga1 Pd1 Br3'
_symmetry_space_group_name_H-M 'P m -3 m'
_symmetry_Int_Tables_number 221
_symmetry_space_group_name_Hall '-P 4 2 3'
_cell_length_a 5.061
_cell_length_b 5.061
_cell_length_c 5.061
_cell_angle_alpha 90.00
_cell_angle_beta 90.00
_cell_angle_gamma 90.00
loop_
_atom_site_label
_atom_site_type_symbol
_atom_site_fract_x
_atom_site_fract_y
_atom_site_fract_z
Ga1 Ga 0.000 0.000 0.000
Pd1 Pd 0.500 0.500 0.500
Br1 Br 0.000 0.500 0.500
```

Electronic total energy   -16.39 eV per cell
E_form (uncorrected)   -296 meV per atom



VASP calculation (GGA-PBEsol) on a relaxed GaPtSeBr2 crystal.

```
data_GaPtSeBr2
_chemical_formula_sum 'Ga1 Pt1 Se1 Br2'
_symmetry_space_group_name_H-M 'P 4/m m m'
_symmetry_Int_Tables_number 123
_symmetry_space_group_name_Hall '-P 4 2'
_cell_length_a 4.811
_cell_length_b 4.811
_cell_length_c 5.144
_cell_angle_alpha 90.00
_cell_angle_beta 90.00
_cell_angle_gamma 90.00
loop_
_atom_site_label
_atom_site_type_symbol
_atom_site_fract_x
_atom_site_fract_y
_atom_site_fract_z
Ga1 Ga 0.000 0.000 0.000
Pt1 Pt 0.500 0.500 0.500
Se1 Se 0.000 0.000 0.500
Br1 Br 0.000 0.500 0.000
```

Electronic total energy   -14.57 eV per cell
E_form (uncorrected)   666 meV per atom



VASP calculation (GGA-PBEsol) on a relaxed Rb2TlGaBr6 crystal.

```
data_Rb2TlGaBr6
_chemical_formula_sum 'Rb8 Tl4 Ga4 Br24'
_symmetry_space_group_name_H-M 'F m -3 m'
_symmetry_Int_Tables_number 225
_symmetry_space_group_name_Hall '-F 4 2 3'
_cell_length_a 11.139
_cell_length_b 11.139
_cell_length_c 11.139
_cell_angle_alpha 90.00
_cell_angle_beta 90.00
_cell_angle_gamma 90.00
loop_
_atom_site_label
_atom_site_type_symbol
_atom_site_fract_x
_atom_site_fract_y
_atom_site_fract_z
Rb1 Rb 0.250 0.250 0.250
Tl1 Tl 0.000 0.000 0.000
Ga1 Ga 0.000 0.000 0.500
Br1 Br 0.000 0.000 0.272
```

Electronic total energy   -122.48 eV per cell
E_form (uncorrected)   -1138 meV per atom



Repeat the second record exactly.
VASP calculation (GGA-PBEsol) on a relaxed Ga2PbSeBr crystal.

```
data_Ga2PbSeBr
_chemical_formula_sum 'Ga2 Pb1 Se1 Br1'
_symmetry_space_group_name_H-M 'P 4/m m m'
_symmetry_Int_Tables_number 123
_symmetry_space_group_name_Hall '-P 4 2'
_cell_length_a 5.252
_cell_length_b 5.252
_cell_length_c 5.766
_cell_angle_alpha 90.00
_cell_angle_beta 90.00
_cell_angle_gamma 90.00
loop_
_atom_site_label
_atom_site_type_symbol
_atom_site_fract_x
_atom_site_fract_y
_atom_site_fract_z
Ga1 Ga 0.000 0.500 0.000
Pb1 Pb 0.000 0.000 0.500
Se1 Se 0.000 0.000 0.000
Br1 Br 0.500 0.500 0.500
```

Electronic total energy   -15.43 eV per cell
E_form (uncorrected)   193 meV per atom